(1)
First-principles (PBE) data for ErTh6Sc8 after structural relaxation, as listed in the Alexandria database.

The structure in POSCAR format:
```
ErTh6Sc8
1.0
9.199 0.000 0.000
4.599 7.966 0.000
4.599 2.655 5.780
Th Sc Er
6 8 1
direct
0.178 0.617 0.773
0.617 0.433 0.773
0.383 0.567 0.227
0.567 0.822 0.227
0.433 0.178 0.773
0.822 0.383 0.227
0.775 0.775 0.676
0.047 0.380 0.703
0.953 0.620 0.297
0.225 0.225 0.324
0.380 0.869 0.703
0.620 0.131 0.297
0.869 0.047 0.703
0.131 0.953 0.297
0.000 0.000 0.000
```

- SG = R-3 (148)
- total magnetic moment (μB per formula unit) = 0.00
- energy relative to the elements (eV/atom) = 0.176
- D(E_F) (states/eV per cell) = 21.08
- calculated volume (Å³ per atom) = 28.2


(2)
First-principles (PBE) data for ErTh2Sc6 after structural relaxation, as listed in the Alexandria database.

The structure in POSCAR format:
```
ErTh2Sc6
1.0
3.273 -0.502 -0.278
-1.690 8.330 4.790
-2.504 0.455 9.419
Sc Er Th
6 1 2
direct
0.168 0.667 0.000
0.500 0.667 0.333
0.168 0.000 0.667
0.500 0.333 0.667
0.832 0.000 0.333
0.832 0.333 0.000
0.000 0.000 0.000
0.667 0.333 0.333
0.333 0.667 0.667
```

- SG = P6/mmm (191)
- total magnetic moment (μB per formula unit) = 0.00
- energy relative to the elements (eV/atom) = 0.029
- D(E_F) (states/eV per cell) = 15.47
- calculated volume (Å³ per atom) = 26.9


(3)
First-principles (PBE) data for ErTh3Sc after structural relaxation, as listed in the Alexandria database.

The structure in POSCAR format:
```
ErTh3Sc
1.0
-0.305 0.220 -6.035
7.241 -5.529 1.434
-1.373 -5.974 4.859
Th Er Sc
6 2 2
direct
0.355 0.052 0.697
0.645 0.948 0.303
0.052 0.146 0.104
0.841 0.549 0.697
0.159 0.451 0.303
0.948 0.854 0.896
0.555 0.650 0.101
0.445 0.350 0.899
0.249 0.751 0.501
0.751 0.249 0.499
```

- energy above the most stable polymorph in this dataset (meV/atom) = 0
- SG = P-1 (2)
- total magnetic moment (μB per formula unit) = 0.00
- energy relative to the elements (eV/atom) = 0.038
- D(E_F) (states/eV per cell) = 15.35
- calculated volume (Å³ per atom) = 30.4


(4)
First-principles (PBE) data for Er2ThSc2 after structural relaxation, as listed in the Alexandria database.

The structure in POSCAR format:
```
Er2ThSc2
1.0
5.258 0.000 0.000
0.000 6.715 0.000
-2.629 0.000 8.071
Th Er Sc
2 4 4
direct
0.393 0.076 0.785
0.607 0.576 0.215
0.799 0.333 0.598
0.003 0.317 0.005
0.201 0.833 0.402
0.997 0.817 0.995
0.385 0.579 0.771
0.615 0.079 0.229
0.800 0.829 0.600
0.200 0.329 0.400
```

- energy above the most stable polymorph in this dataset (meV/atom) = 0
- SG = Cmc2_1 (36)
- total magnetic moment (μB per formula unit) = 0.00
- energy relative to the elements (eV/atom) = 0.053
- D(E_F) (states/eV per cell) = 12.65
- calculated volume (Å³ per atom) = 28.5


(5)
First-principles (PBE) data for ErThSc6 after structural relaxation, as listed in the Alexandria database.

The structure in POSCAR format:
```
ErThSc6
1.0
-2.595 3.883 0.368
-4.159 -3.173 4.150
3.707 1.986 5.187
Sc Er Th
6 1 1
direct
0.000 0.248 0.752
0.500 0.500 0.000
0.000 0.248 0.248
0.500 0.000 0.500
0.000 0.752 0.248
0.000 0.752 0.752
0.500 0.500 0.500
0.500 0.000 0.000
```

- energy above the most stable polymorph in this dataset (meV/atom) = 14
- SG = Cmmm (65)
- total magnetic moment (μB per formula unit) = 0.00
- energy relative to the elements (eV/atom) = 0.040
- D(E_F) (states/eV per cell) = 15.18
- calculated volume (Å³ per atom) = 26.1


(6)
First-principles (PBE) data for Er5Th2Sc5 after structural relaxation, as listed in the Alexandria database.

The structure in POSCAR format:
```
Er5Th2Sc5
1.0
4.895 0.000 0.000
-2.448 7.183 -0.578
0.000 -3.953 9.980
Er Sc Th
5 5 2
direct
0.334 0.668 0.002
0.587 0.173 0.252
0.666 0.332 0.998
0.413 0.827 0.748
0.500 0.000 0.500
0.747 0.495 0.746
0.832 0.664 0.500
0.000 0.000 0.000
0.168 0.336 0.500
0.253 0.505 0.254
0.082 0.165 0.746
0.918 0.835 0.254
```

- energy above the most stable polymorph in this dataset (meV/atom) = 0
- SG = C2/m (12)
- total magnetic moment (μB per formula unit) = 0.00
- energy relative to the elements (eV/atom) = 0.052
- D(E_F) (states/eV per cell) = 20.52
- calculated volume (Å³ per atom) = 28.3


(7)
First-principles (PBE) data for Er3Th4Sc2 after structural relaxation, as listed in the Alexandria database.

The structure in POSCAR format:
```
Er3Th4Sc2
1.0
6.778 0.157 0.890
0.908 8.421 4.325
0.432 -0.358 9.494
Sc Th Er
4 8 6
direct
0.163 0.858 0.497
0.337 0.503 0.142
0.837 0.142 0.503
0.663 0.497 0.858
0.338 0.168 0.491
0.498 0.822 0.179
0.162 0.509 0.832
0.838 0.491 0.168
0.002 0.821 0.178
0.502 0.178 0.821
0.998 0.179 0.822
0.662 0.832 0.509
0.672 0.159 0.170
0.328 0.841 0.830
0.750 0.482 0.518
0.828 0.830 0.841
0.250 0.518 0.482
0.172 0.170 0.159
```

- energy above the most stable polymorph in this dataset (meV/atom) = 15
- SG = C2/c (15)
- total magnetic moment (μB per formula unit) = 0.00
- energy relative to the elements (eV/atom) = 0.138
- D(E_F) (states/eV per cell) = 31.30
- calculated volume (Å³ per atom) = 30.4


(8)
First-principles (PBE) data for ErTh6Sc12 after structural relaxation, as listed in the Alexandria database.

The structure in POSCAR format:
```
ErTh6Sc12
1.0
8.766 -0.131 -0.184
-2.300 8.460 -0.184
-2.300 -2.962 7.926
Sc Th Er
12 6 1
direct
0.500 0.891 0.109
0.891 0.109 0.500
0.666 0.899 0.666
0.109 0.891 0.500
0.334 0.101 0.334
0.101 0.334 0.334
0.666 0.666 0.899
0.899 0.666 0.666
0.109 0.500 0.891
0.891 0.500 0.109
0.334 0.334 0.101
0.500 0.109 0.891
0.679 0.679 0.287
0.679 0.287 0.679
0.287 0.679 0.679
0.321 0.713 0.321
0.713 0.321 0.321
0.321 0.321 0.713
0.000 0.000 0.000
```

- SG = R-3m (166)
- total magnetic moment (μB per formula unit) = 0.00
- energy relative to the elements (eV/atom) = 0.548
- D(E_F) (states/eV per cell) = 33.77
- calculated volume (Å³ per atom) = 30.3